1.
HfCuSi2: optimized geometry, GGA-PBE.

Geometry as POSCAR:
```
HfCuSi2
1.0
-2.415 1.214 3.066
-2.385 -3.267 -0.584
2.239 -5.373 6.615
Si Hf Cu
4 2 2
Direct
0.875 0.797 0.750 Si
0.203 0.625 0.250 Si
0.547 0.125 0.250 Si
0.375 0.453 0.750 Si
0.000 0.000 0.000 Hf
0.750 0.250 0.500 Hf
0.500 0.500 0.000 Cu
0.250 0.750 0.500 Cu
```

Its total energy is -6.181 eV per atom. For the formation energy from raw total energies, the calculation gives 43 meV/atom. The value obtained for the density of states at the Fermi level is 5.2 states/eV per cell.

=====

2.
HfCuSi: optimized geometry, GGA-PBE.

Geometry as POSCAR:
```
HfCuSi
1.0
3.899 0.000 0.000
0.000 6.448 0.000
0.000 0.000 7.288
Si Hf Cu
4 4 4
Direct
0.250 0.278 0.897 Si
0.750 0.722 0.103 Si
0.250 0.778 0.603 Si
0.750 0.222 0.397 Si
0.750 0.489 0.692 Hf
0.750 0.989 0.808 Hf
0.250 0.011 0.192 Hf
0.250 0.511 0.308 Hf
0.250 0.167 0.576 Cu
0.750 0.333 0.076 Cu
0.750 0.833 0.424 Cu
0.250 0.667 0.924 Cu
```

Its total energy is -7.101 eV per atom. For the formation energy from raw total energies, the calculation gives -610 meV/atom. The value obtained for the density of states at the Fermi level is 4.7 states/eV per cell.

=====

3.
HfCuSi2: optimized geometry, GGA-PBE.

Geometry as POSCAR:
```
HfCuSi2
1.0
3.992 -0.893 1.815
1.453 2.386 3.497
0.245 -1.888 4.051
Cu Si Hf
1 2 1
Direct
0.000 0.000 0.000 Cu
0.750 0.750 0.750 Si
0.250 0.250 0.250 Si
0.500 0.500 0.500 Hf
```

Its total energy is -6.122 eV per atom. For the formation energy from raw total energies, the calculation gives 101 meV/atom. The value obtained for the density of states at the Fermi level is 5.3 states/eV per cell.

=====

4.
HfCuSi2: optimized geometry, GGA-PBE.

Geometry as POSCAR:
```
HfCuSi2
1.0
3.786 0.000 0.000
0.000 3.979 0.000
0.000 0.000 3.979
Cu Si Hf
1 2 1
Direct
0.500 0.000 0.000 Cu
0.000 0.500 0.000 Si
0.000 0.000 0.500 Si
0.500 0.500 0.500 Hf
```

Its total energy is -6.515 eV per atom. For the formation energy from raw total energies, the calculation gives -291 meV/atom. The value obtained for the density of states at the Fermi level is 1.1 states/eV per cell.

=====

5.
HfCu2Si2: optimized geometry, GGA-PBE.

Geometry as POSCAR:
```
HfCu2Si2
1.0
-4.925 4.268 2.850
-4.653 -2.048 -4.975
-0.879 -2.155 1.709
Si Cu Hf
4 4 2
Direct
0.644 0.144 0.000 Si
0.144 0.356 0.000 Si
0.356 0.856 0.000 Si
0.856 0.644 0.000 Si
0.146 0.646 0.500 Cu
0.646 0.854 0.500 Cu
0.854 0.354 0.500 Cu
0.354 0.146 0.500 Cu
0.500 0.500 0.000 Hf
0.000 0.000 0.000 Hf
```

Its total energy is -5.910 eV per atom. For the formation energy from raw total energies, the calculation gives -112 meV/atom. The value obtained for the density of states at the Fermi level is 3.7 states/eV per cell.

=====

6.
Hf3Cu4Si2: optimized geometry, GGA-PBE.

Geometry as POSCAR:
```
Hf3Cu4Si2
1.0
-1.563 -3.534 -0.908
2.240 -2.380 5.412
-5.764 2.592 -0.168
Cu Si Hf
4 2 3
Direct
0.500 0.000 0.000 Cu
0.000 0.000 0.248 Cu
0.000 0.248 0.000 Cu
0.000 0.752 0.752 Cu
0.000 0.333 0.667 Si
0.000 0.667 0.333 Si
0.500 0.586 0.000 Hf
0.500 0.414 0.414 Hf
0.500 0.000 0.586 Hf
```

Its total energy is -6.846 eV per atom. For the formation energy from raw total energies, the calculation gives -503 meV/atom. The value obtained for the density of states at the Fermi level is 2.6 states/eV per cell.

=====

7.
Hf2CuSi: optimized geometry, GGA-PBE.

Geometry as POSCAR:
```
Hf2CuSi
1.0
-6.316 1.107 -3.177
-3.305 -3.311 5.416
-5.066 1.424 2.507
Si Hf Cu
2 4 2
Direct
0.500 0.500 0.000 Si
0.250 0.750 0.500 Si
0.875 0.884 0.750 Hf
0.375 0.366 0.750 Hf
0.116 0.625 0.250 Hf
0.634 0.125 0.250 Hf
0.000 0.000 0.000 Cu
0.750 0.250 0.500 Cu
```

Its total energy is -7.332 eV per atom. For the formation energy from raw total energies, the calculation gives 25 meV/atom. The value obtained for the density of states at the Fermi level is 6.3 states/eV per cell.

=====

8.
HfCu4Si2: optimized geometry, GGA-PBE.

Geometry as POSCAR:
```
HfCu4Si2
1.0
3.800 0.000 0.000
0.000 7.084 0.000
0.000 0.000 7.084
Cu Si Hf
8 4 2
Direct
0.000 0.342 0.093 Cu
0.500 0.158 0.593 Cu
0.000 0.093 0.342 Cu
0.500 0.842 0.407 Cu
0.500 0.593 0.158 Cu
0.000 0.907 0.658 Cu
0.500 0.407 0.842 Cu
0.000 0.658 0.907 Cu
0.000 0.214 0.786 Si
0.500 0.714 0.714 Si
0.500 0.286 0.286 Si
0.000 0.786 0.214 Si
0.000 0.500 0.500 Hf
0.500 0.000 0.000 Hf
```

Its total energy is -5.627 eV per atom. For the formation energy from raw total energies, the calculation gives -315 meV/atom. The value obtained for the density of states at the Fermi level is 4.3 states/eV per cell.

=====

9.
SrHfCuSi2: optimized geometry, GGA-PBE.

Geometry as POSCAR:
```
SrHfCuSi2
1.0
5.134 0.000 0.000
0.000 4.772 0.000
0.000 0.000 5.134
Sr Si Cu Hf
1 2 1 1
Direct
0.000 0.000 0.000 Sr
0.500 0.000 0.000 Si
0.000 0.000 0.500 Si
0.000 0.500 0.000 Cu
0.500 0.500 0.500 Hf
```

Its total energy is -3.676 eV per atom. For the formation energy from raw total energies, the calculation gives 1640 meV/atom. The value obtained for the density of states at the Fermi level is 3.9 states/eV per cell.

=====

10.
HfCuSiTe2: optimized geometry, GGA-PBE.

Geometry as POSCAR:
```
HfCuSiTe2
1.0
-2.535 -3.392 2.719
3.024 -3.593 -1.662
3.093 0.805 3.887
Si Cu Te Hf
1 1 2 1
Direct
0.500 0.500 0.500 Si
0.000 0.000 0.000 Cu
0.000 0.000 0.500 Te
0.500 0.000 0.000 Te
0.000 0.500 0.000 Hf
```

Its total energy is -4.375 eV per atom. For the formation energy from raw total energies, the calculation gives 776 meV/atom. The value obtained for the density of states at the Fermi level is 3.7 states/eV per cell.

=====

Question: formation energy from raw total energies of number 6 (Hf3Cu4Si2)?
Answer: -503 meV/atom